# 1
A plane-wave DFT calculation with GGA-PBE was carried out for NdPa2IrN5 after structural relaxation.

Results
* symmetry: I4/mcm (140)
* formation energy (no corrections): -1.0524 eV per atom
* E_tot: -167.4 eV/cell

Lattice parameters (Å, degrees): 6.5555 6.5555 7.5272 115.81 115.81 90.00
Atoms (fractional coordinates):
Pa 0.3212 0.8212 0.0000
N 0.2319 0.0191 0.7510
Pa 0.1788 0.3212 0.0000
N 0.5000 0.5000 0.0000
N 0.0191 0.5191 0.7510
N 0.9809 0.4809 0.2490
N 0.7319 0.2319 0.7510
Ir 0.7500 0.2500 0.5000
Ir 0.2500 0.7500 0.5000
Pa 0.6788 0.1788 0.0000
N 0.5191 0.7319 0.7510
N 0.2681 0.7681 0.2490
N 0.0000 0.0000 0.0000
Pa 0.8212 0.6788 0.0000
Nd 0.2500 0.2500 0.5000
Nd 0.7500 0.7500 0.5000
N 0.7681 0.9809 0.2490
N 0.4809 0.2681 0.2490

---

# 2
A plane-wave DFT calculation with GGA-PBE was carried out for BaPdO2F after structural relaxation.

Results
* symmetry: P4/mmm (123)
* formation energy (no corrections): -1.6666 eV per atom
* E_tot: -27.2 eV/cell

Lattice parameters (Å, degrees): 4.1236 4.1236 4.3742 90.00 90.00 90.00
Last column: magnetic moment on the atom in μB.
Atoms (fractional coordinates):
Ba 0.5000 0.5000 0.5000  0.00
O 0.0000 0.5000 0.0000  -0.05
Pd 0.0000 0.0000 0.0000  -0.10
O 0.5000 0.0000 0.0000  -0.05
F 0.0000 0.0000 0.5000  0.00

---

# 3
A plane-wave DFT calculation with GGA-PBE was carried out for PaRe2C after structural relaxation.

Results
* symmetry: Cmcm (63)
* E_tot: -85.3 eV/cell

Lattice parameters (Å, degrees): 3.0449 5.3683 7.7689 90.00 90.00 106.47
Atoms (fractional coordinates):
Re 0.6523 0.3044 0.0627
Pa 0.9347 0.8692 0.2500
Pa 0.0653 0.1308 0.7500
C 0.7962 0.5929 0.7500
C 0.2038 0.4071 0.2500
Re 0.3477 0.6956 0.9373
Re 0.3477 0.6956 0.5627
Re 0.6523 0.3044 0.4373

---

# 4
A plane-wave DFT calculation with GGA-PBE was carried out for AgRhSe2 after structural relaxation.

Results
* symmetry: C2/c (15)
* formation energy (no corrections): -0.1349 eV per atom
* E_tot: -141.7 eV/cell

Lattice parameters (Å, degrees): 14.1582 7.5715 7.5715 64.96 104.24 75.76
Atoms (fractional coordinates):
Rh 0.1391 0.6328 0.9751
Se 0.2515 0.3986 0.3623
Rh 0.6608 0.0364 0.8597
Se 0.2485 0.8623 0.8986
Rh 0.8609 0.3672 0.0249
Ag 0.0948 0.2819 0.1933
Se 0.7500 0.1106 0.6106
Ag 0.5956 0.8664 0.1939
Rh 0.3609 0.4751 0.1328
Rh 0.1608 0.6403 0.4636
Se 0.5340 0.9134 0.7008
Se 0.4747 0.6046 0.2996
Se 0.7515 0.1377 0.1014
Ag 0.9052 0.7181 0.8067
Ag 0.4044 0.1336 0.8061
Ag 0.5948 0.3067 0.2181
Se 0.7500 0.6206 0.1206
Se 0.2500 0.8894 0.3894
Se 0.0253 0.7996 0.1046
Se 0.2500 0.3794 0.8794
Ag 0.0956 0.3061 0.6336
Rh 0.8392 0.3597 0.5364
Ag 0.4052 0.6933 0.7819
Se 0.7485 0.6014 0.6377
Ag 0.9044 0.6939 0.3664
Se 0.5253 0.3954 0.7004
Se 0.0340 0.7992 0.5866
Rh 0.6391 0.5249 0.8672
Se 0.9660 0.2008 0.4134
Se 0.9747 0.2004 0.8954
Se 0.4660 0.0866 0.2992
Rh 0.3392 0.9636 0.1403

---

# 5
A plane-wave DFT calculation with GGA-PBE was carried out for LaNd3Ho6Th2 after structural relaxation.

Results
* symmetry: C2/m (12)
* E_tot: -61.3 eV/cell

Lattice parameters (Å, degrees): 6.2460 6.2460 11.7413 95.10 95.10 119.98
Atoms (fractional coordinates):
Ho 0.7432 0.7432 0.2459
Nd 0.8336 0.1664 0.5000
Ho 0.0821 0.4211 0.2458
Ho 0.2568 0.2568 0.7541
Nd 0.5000 0.5000 0.5000
Nd 0.1664 0.8336 0.5000
Ho 0.5789 0.9179 0.7542
Ho 0.4211 0.0821 0.2458
Ho 0.9179 0.5789 0.7542
Th 0.3334 0.6666 0.0000
La 0.0000 0.0000 0.0000
Th 0.6666 0.3334 0.0000

---

# 6
A plane-wave DFT calculation with GGA-PBE was carried out for TmNbCoNi after structural relaxation.

Results
* symmetry: F-43m (216)
* E_tot: -27.8 eV/cell

Lattice parameters (Å, degrees): 4.4995 4.4995 4.4995 60.00 60.00 60.00
Last column: magnetic moment on the atom in μB.
Atoms (fractional coordinates):
Nb 0.5000 0.5000 0.5000  -0.02
Tm 0.0000 0.0000 0.0000  -0.01
Ni 0.2500 0.2500 0.2500  -0.01
Co 0.7500 0.7500 0.7500  0.07

---

Calculated spin magnetization, 0.00; 0.22; 0.00; 0.00; 0.00; 0.03 Bohr magnetons per cell (same order as the records).